# 1
Entry from Alexandria: a relaxed ZnBi12O20 crystal (GGA-PBEsol).

## Properties
The value obtained for the density of states at the Fermi level is 44.999 states/eV per cell. For the uncorrected formation energy, the calculation gives -1.168 eV per atom. For the calculated volume, the calculation gives 997.3 Å³ per cell.

abc: 9.991 9.991 9.991
angles: 90.00 90.00 90.00
Space group I23 (No. 197)
Unique sites:
1 Zn 0.000 0.000 0.000
2 Bi 0.005 0.316 0.172
3 O 0.012 0.244 0.631
4 O 0.115 0.115 0.885
5 O 0.189 0.189 0.189

# 2
Entry from Alexandria: a relaxed CuH20N6OF2 crystal (GGA-PBEsol).

## Properties
For the calculated volume, the calculation gives 651.8 Å³ per cell.

abc: 6.5105 6.5105 17.7574
angles: 90.00 90.00 120.00
Space group P3_221 (No. 154)
Unique sites:
1 Cu 0.0000 0.4589 0.3333
2 H 0.0069 0.7494 0.6691
3 H 0.0577 0.1487 0.5347
4 H 0.0866 0.3421 0.9982
5 H 0.0880 0.8583 0.5810
6 H 0.1115 0.6246 0.6100
7 H 0.1422 0.8285 0.2444
8 H 0.2008 0.5729 0.9387
9 H 0.2035 0.5664 0.7667
10 H 0.2092 0.5124 0.1209
11 H 0.2198 0.5320 0.4971
12 N 0.1291 0.7851 0.6265
13 N 0.2117 0.4269 0.9560
14 N 0.2731 0.6215 0.4466
15 O 0.0000 0.9919 0.8333
16 F 0.1238 0.3551 0.5906

# 3
Entry from Alexandria: a relaxed CoP2W crystal (GGA-PBEsol).

## Properties
The value obtained for the density of states at the Fermi level is 5.355 states/eV per cell. The formation energy comes out at -0.3 eV per formula unit. For the calculated volume, the calculation gives 100.1 Å³ per cell.

abc: 7.185 2.965 4.802
angles: 90.00 102.09 90.00
Space group C2/m (No. 12)
Unique sites:
1 Co 0.000 0.000 0.000
2 P 0.248 0.500 0.223
3 W 0.000 0.500 0.500

# 4
Entry from Alexandria: a relaxed BaMnW2 crystal (GGA-PBEsol).

## Properties
The value obtained for the density of states at the Fermi level is 17.660 states/eV per cell. The formation energy comes out at 3.5 eV per formula unit. For the calculated volume, the calculation gives 278.4 Å³ per cell.

abc: 4.1024 4.1024 19.1003
angles: 90.00 90.00 120.00
Space group R-3m (No. 166, hexagonal axes)
Unique sites:
1 Ba 0.0000 0.0000 0.0000
2 Mn 0.0000 0.0000 0.5000
3 W 0.0000 0.0000 0.1992

# 5
Entry from Alexandria: a relaxed GaSbTe2P crystal (GGA-PBEsol).

## Properties
The value obtained for the density of states at the Fermi level is 4.674 states/eV per cell. For the uncorrected formation energy, the calculation gives 0.876 eV per atom. For the calculated volume, the calculation gives 139.2 Å³ per cell.

abc: 5.180 5.180 5.187
angles: 90.00 90.00 90.00
Space group P4/mmm (No. 123)
Unique sites:
1 Ga 0.000 0.000 0.000
2 Sb 0.000 0.000 0.500
3 Te 0.000 0.500 0.000
4 P 0.500 0.500 0.500

# 6
Entry from Alexandria: a relaxed MnCdPt crystal (GGA-PBEsol).

## Properties
The value obtained for the density of states at the Fermi level is 1.934 states/eV per cell. The formation energy comes out at -0.3 eV per formula unit. For the calculated volume, the calculation gives 95.3 Å³ per cell.

abc: 2.920 3.746 8.708
angles: 90.00 90.00 90.00
Space group Imm2 (No. 44)
Unique sites:
1 Mn 0.000 0.000 0.000
2 Cd 0.000 0.000 0.322
3 Pt 0.000 0.000 0.644

# 7
Entry from Alexandria: a relaxed LiFeBr2 crystal (GGA-PBEsol).

## Properties
The value obtained for the density of states at the Fermi level is 7.611 states/eV per cell. For the uncorrected formation energy, the calculation gives -0.321 eV per atom. For the calculated volume, the calculation gives 168.9 Å³ per cell.

abc: 7.178 7.188 3.573
angles: 90.00 113.61 90.00
Space group C2/m (No. 12)
Unique sites:
1 Li 0.000 0.000 0.000
2 Fe 0.000 0.500 0.000
3 Br 0.250 0.250 0.000

# 8
Entry from Alexandria: a relaxed MgAgSe2 crystal (GGA-PBEsol).

## Properties
The value obtained for the density of states at the Fermi level is 8.400 states/eV per cell. For the uncorrected formation energy, the calculation gives -0.536 eV per atom. For the calculated volume, the calculation gives 243.4 Å³ per cell.

abc: 3.8996 3.8996 18.4847
angles: 90.00 90.00 120.00
Space group R-3m (No. 166, hexagonal axes)
Unique sites:
1 Mg 0.0000 0.0000 0.0000
2 Ag 0.0000 0.0000 0.5000
3 Se 0.0000 0.0000 0.2510

# 9
Entry from Alexandria: a relaxed Sr3Hg crystal (GGA-PBEsol).

## Properties
The value obtained for the density of states at the Fermi level is 18.681 states/eV per cell. The formation energy comes out at -1.2 eV per formula unit. For the calculated volume, the calculation gives 667.6 Å³ per cell.

abc: 8.441 10.831 7.302
angles: 90.00 90.00 90.00
Space group Pnma (No. 62)
Unique sites:
1 Sr 0.034 0.250 0.140
2 Sr 0.177 0.063 0.662
3 Hg 0.120 0.750 0.446

# 10
Entry from Alexandria: a relaxed Ba2PCl crystal (GGA-PBEsol).

## Properties
The value obtained for the density of states at the Fermi level is 2.113 states/eV per cell. For the uncorrected formation energy, the calculation gives -1.236 eV per atom. For the calculated volume, the calculation gives 240.9 Å³ per cell.

abc: 4.480 4.480 12.002
angles: 90.00 90.00 90.00
Space group I-4m2 (No. 119)
Unique sites:
1 Ba 0.000 0.000 0.000
2 Ba 0.000 0.500 0.250
3 P 0.000 0.500 0.750
4 Cl 0.000 0.000 0.500

# 11
Entry from Alexandria: a relaxed RbMgH2Ru crystal (GGA-PBEsol).

## Properties
The value obtained for the density of states at the Fermi level is 4.473 states/eV per cell. For the calculated volume, the calculation gives 107.6 Å³ per cell.

abc: 3.881 3.881 7.140
angles: 90.00 90.00 90.00
Space group P4/mmm (No. 123)
Unique sites:
1 Rb 0.000 0.000 0.000
2 Mg 0.000 0.000 0.500
3 H 0.000 0.500 0.500
4 Ru 0.500 0.500 0.000

# 12
Entry from Alexandria: a relaxed LaGaHgS2 crystal (GGA-PBEsol).

## Properties
The value obtained for the density of states at the Fermi level is 1.190 states/eV per cell. For the uncorrected formation energy, the calculation gives -0.294 eV per atom. For the calculated volume, the calculation gives 175.9 Å³ per cell.

abc: 5.429 5.429 5.968
angles: 90.00 90.00 90.00
Space group P4/mmm (No. 123)
Unique sites:
1 La 0.000 0.000 0.000
2 Ga 0.500 0.500 0.500
3 Hg 0.000 0.000 0.500
4 S 0.000 0.500 0.000

# 13
Entry from Alexandria: a relaxed KTlRe crystal (GGA-PBEsol).

## Properties
The value obtained for the density of states at the Fermi level is 8.846 states/eV per cell. The formation energy comes out at 3.9 eV per formula unit. For the calculated volume, the calculation gives 161.0 Å³ per cell.

abc: 3.626 3.626 12.246
angles: 90.00 90.00 90.00
Space group I4mm (No. 107)
Unique sites:
1 K 0.000 0.000 0.000
2 Tl 0.000 0.000 0.278
3 Re 0.000 0.000 0.715

# 14
Entry from Alexandria: a relaxed ZnFe2C2 crystal (GGA-PBEsol).

## Properties
The value obtained for the density of states at the Fermi level is 2.438 states/eV per cell. The formation energy comes out at 2.2 eV per formula unit. For the calculated volume, the calculation gives 88.3 Å³ per cell.

abc: 2.742 2.742 11.745
angles: 90.00 90.00 90.00
Space group I4/mmm (No. 139)
Unique sites:
1 Zn 0.000 0.000 0.000
2 Fe 0.000 0.000 0.363
3 C 0.000 0.500 0.250

# 15
Entry from Alexandria: a relaxed CaMoPb crystal (GGA-PBEsol).

## Properties
The value obtained for the density of states at the Fermi level is 11.727 states/eV per cell. The formation energy comes out at 2.6 eV per formula unit. For the calculated volume, the calculation gives 324.6 Å³ per cell.

abc: 6.873 6.873 6.873
angles: 90.00 90.00 90.00
Space group F-43m (No. 216)
Unique sites:
1 Ca 0.000 0.000 0.000
2 Mo 0.250 0.250 0.250
3 Pb 0.000 0.000 0.500

# 16
Entry from Alexandria: a relaxed NiAgCl2 crystal (GGA-PBEsol).

## Properties
The value obtained for the density of states at the Fermi level is 3.478 states/eV per cell. For the uncorrected formation energy, the calculation gives -0.103 eV per atom. For the calculated volume, the calculation gives 72.4 Å³ per cell.

abc: 3.365 3.365 6.393
angles: 90.00 90.00 90.00
Space group P4mm (No. 99)
Unique sites:
1 Ni 0.000 0.000 0.000
2 Ag 0.500 0.500 0.551
3 Cl 0.000 0.000 0.359
4 Cl 0.500 0.500 0.945

# 17
Entry from Alexandria: a relaxed CrCo3Se crystal (GGA-PBEsol).

## Properties
The value obtained for the density of states at the Fermi level is 8.130 states/eV per cell. For the uncorrected formation energy, the calculation gives 1.241 eV per atom. For the calculated volume, the calculation gives 70.8 Å³ per cell.

abc: 4.138 4.138 4.138
angles: 90.00 90.00 90.00
Space group Pm-3m (No. 221)
Unique sites:
1 Cr 0.000 0.000 0.000
2 Co 0.000 0.000 0.500
3 Se 0.500 0.500 0.500

# 18
Entry from Alexandria: a relaxed YSc2Be crystal (GGA-PBEsol).

## Properties
The value obtained for the density of states at the Fermi level is 11.185 states/eV per cell. The formation energy comes out at 0.2 eV per formula unit. For the calculated volume, the calculation gives 171.2 Å³ per cell.

abc: 3.359 4.898 10.404
angles: 90.00 90.00 90.00
Space group Immm (No. 71)
Unique sites:
1 Y 0.000 0.000 0.000
2 Sc 0.000 0.500 0.208
3 Be 0.000 0.000 0.500

# 19
Entry from Alexandria: a relaxed AgSe2NCl crystal (GGA-PBEsol).

## Properties
The value obtained for the density of states at the Fermi level is 4.545 states/eV per cell. For the uncorrected formation energy, the calculation gives 1.362 eV per atom. For the calculated volume, the calculation gives 93.6 Å³ per cell.

abc: 5.378 5.378 3.234
angles: 90.00 90.00 90.00
Space group P4/mmm (No. 123)
Unique sites:
1 Ag 0.000 0.000 0.000
2 Se 0.000 0.500 0.500
3 N 0.500 0.500 0.000
4 Cl 0.500 0.500 0.500

# 20
Entry from Alexandria: a relaxed ReWC2Se crystal (GGA-PBEsol).

## Properties
The value obtained for the density of states at the Fermi level is 5.730 states/eV per cell. For the uncorrected formation energy, the calculation gives 1.990 eV per atom. For the calculated volume, the calculation gives 78.9 Å³ per cell.

abc: 3.905 3.905 5.174
angles: 90.00 90.00 90.00
Space group P4/mmm (No. 123)
Unique sites:
1 Re 0.000 0.000 0.000
2 W 0.500 0.500 0.500
3 C 0.000 0.500 0.000
4 Se 0.000 0.000 0.500

For the records above, the corresponding VASP energy values read -5.96, -4.99, -8.36, -9.00, -3.27, -6.08, -3.99, -3.72, -1.82, -4.26, -2.50, -3.90, -4.39, -7.32, -5.11, -3.47, -6.22, -5.97, -2.95, -8.07 eV/atom.